{
  "formula": "LuZrFeB",
  "functional": "PBE-GGA",
  "state": "relaxed",
  "lattice_angstrom": [[-1.936, -2.844, -2.690], [-3.668, 1.120, -2.089], [0.065, 0.682, -4.313]],
  "species": ["Lu", "Zr", "B", "Fe"],
  "frac_coords": [[0.250, 0.250, 0.250], [0.500, 0.500, 0.500], [0.000, 0.000, 0.000], [0.750, 0.750, 0.750]],
  "magnetic_moment_mub_per_atom": 0.0001,
  "sg": "F-43m (216)",
  "dft_energy_ev_per_atom": -6.61,
  "relative_energy_kj_per_mol_atoms": 0.00
}

---

{
  "formula": "Co",
  "functional": "PBE-GGA",
  "state": "relaxed",
  "lattice_angstrom": [[3.237, 2.223, -1.523], [-0.918, -1.234, 3.921], [1.785, -2.948, -0.510]],
  "species": ["Co", "Co", "Co", "Co"],
  "frac_coords": [[0.143, 0.857, 0.000], [0.857, 0.143, 0.000], [0.643, 0.357, 0.500], [0.357, 0.643, 0.500]],
  "magnetic_moment_mub_per_atom": 0.0004,
  "ef_mev_per_atom": 566,
  "sg": "I4/mmm (139)",
  "dft_energy_ev_per_atom": -6.54,
  "relative_energy_kj_per_mol_atoms": 54.60
}

---

{
  "formula": "KUSb",
  "functional": "PBE-GGA",
  "state": "relaxed",
  "lattice_angstrom": [[0.000, 3.826, 3.826], [3.826, 0.000, 3.826], [3.826, 3.826, 0.000]],
  "species": ["Sb", "K", "U"],
  "frac_coords": [[0.750, 0.750, 0.750], [0.250, 0.250, 0.250], [0.000, 0.000, 0.000]],
  "magnetic_moment_mub_per_atom": 1.3341,
  "sg": "F-43m (216)",
  "dft_energy_ev_per_atom": -4.69
}

---

{
  "formula": "Cu2GeBi",
  "functional": "PBE-GGA",
  "state": "relaxed",
  "lattice_angstrom": [[6.663, 0.000, 0.000], [0.000, 6.663, 0.000], [0.000, 0.000, 6.663]],
  "species": ["Ge", "Ge", "Ge", "Ge", "Cu", "Cu", "Cu", "Cu", "Cu", "Cu", "Cu", "Cu", "Bi", "Bi", "Bi", "Bi"],
  "frac_coords": [[0.500, 0.500, 0.000], [0.500, 0.500, 0.500], [0.500, 0.000, 0.500], [0.000, 0.500, 0.500], [0.285, 0.285, 0.715], [0.285, 0.285, 0.285], [0.715, 0.285, 0.285], [0.715, 0.285, 0.715], [0.715, 0.715, 0.715], [0.285, 0.715, 0.285], [0.285, 0.715, 0.715], [0.715, 0.715, 0.285], [0.000, 0.000, 0.000], [0.000, 0.000, 0.500], [0.000, 0.500, 0.000], [0.500, 0.000, 0.000]],
  "sg": "Pm-3m (221)",
  "dft_energy_ev_per_atom": -3.78
}

---

{
  "formula": "KIrAuSe3",
  "functional": "PBE-GGA",
  "state": "relaxed",
  "lattice_angstrom": [[-0.641, 1.883, -8.354], [-3.641, -0.334, -7.770], [-5.495, 8.021, 2.229]],
  "species": ["Ir", "Ir", "K", "K", "Se", "Se", "Se", "Se", "Se", "Se", "Au", "Au"],
  "frac_coords": [[0.000, 0.000, 0.000], [0.000, 0.000, 0.500], [0.722, 0.722, 0.250], [0.278, 0.278, 0.750], [0.042, 0.042, 0.250], [0.399, 0.399, 0.008], [0.601, 0.601, 0.508], [0.958, 0.958, 0.750], [0.601, 0.601, 0.992], [0.399, 0.399, 0.492], [0.618, 0.618, 0.750], [0.382, 0.382, 0.250]],
  "magnetic_moment_mub_per_atom": 0.0008,
  "sg": "Cmcm (63)",
  "dft_energy_ev_per_atom": -4.27
}

---

{
  "formula": "KNp",
  "functional": "PBE-GGA",
  "state": "relaxed",
  "lattice_angstrom": [[-2.330, -4.127, -1.978], [-3.033, -2.902, 2.959], [-5.084, 0.024, -0.730]],
  "species": ["K", "Np"],
  "frac_coords": [[0.000, 0.000, 0.000], [0.500, 0.500, 0.500]],
  "magnetic_moment_mub_per_atom": 2.9701,
  "sg": "Fm-3m (225)",
  "dft_energy_ev_per_atom": -4.91
}